No. 1
Material: TlInBiAu
Method: DFT, PBE
State: optimized geometry

Cell: 3.470 3.470 9.025 Å, 89.99 90.01 90.01°
Element x y z (fractional)
Au 0.146 0.854 0.222
In 0.146 0.854 0.719
Bi 0.646 0.354 0.438
Tl 0.646 0.354 0.010

E above lowest polymorph ... 0.0 meV per atom
M_tot ... 0.000 μB/f.u.


No. 2
Material: TlInBiAu2
Method: DFT, PBE
State: optimized geometry

Cell: 4.596 8.635 7.318 Å, 84.86 71.70 74.57°
Element x y z (fractional)
In 0.919 0.942 0.220
In 0.081 0.058 0.780
Bi 0.387 0.364 0.862
Au 0.815 0.267 0.102
Tl 0.145 0.332 0.379
Bi 0.613 0.636 0.138
Au 0.658 0.134 0.549
Tl 0.855 0.668 0.621
Au 0.185 0.733 0.898
Au 0.342 0.866 0.451

M_tot ... 0.000 μB/f.u.
Total DFT energy (no corrections) ... -3.1906 eV/atom


No. 3
Material: TlInBi2Au4
Method: DFT, PBE
State: optimized geometry

Cell: 5.983 5.983 6.904 Å, 108.69 108.69 105.11°
Element x y z (fractional)
Bi 0.187 0.687 0.500
Bi 0.687 0.187 0.500
Tl 0.437 0.437 0.000
Au 0.437 0.937 0.000
Au 0.180 0.180 0.486
In 0.937 0.937 0.000
Au 0.937 0.437 0.000
Au 0.694 0.694 0.514

M_tot ... 0.000 μB/f.u.
Total DFT energy (no corrections) ... -3.2924 eV/atom